DFT (PBE) results for a geometry-optimized TbSm2YEr6 structure.

abc: 8.741 8.741 9.600
angles: 94.42 94.42 118.29
Positions (direct):
1 Tb 0.093 0.907 0.750
2 Tb 0.907 0.093 0.250
3 Sm 0.200 0.307 0.957
4 Sm 0.307 0.200 0.457
5 Sm 0.693 0.800 0.543
6 Sm 0.800 0.693 0.043
7 Y 0.480 0.520 0.250
8 Y 0.520 0.480 0.750
9 Er 0.001 0.790 0.380
10 Er 0.075 0.524 0.186
11 Er 0.210 0.999 0.120
12 Er 0.246 0.626 0.557
13 Er 0.374 0.754 0.943
14 Er 0.476 0.925 0.314
15 Er 0.524 0.075 0.686
16 Er 0.626 0.246 0.057
17 Er 0.754 0.374 0.443
18 Er 0.790 0.001 0.880
19 Er 0.925 0.476 0.814
20 Er 0.999 0.210 0.620

Properties
Its total moment is 0.000 μB/f.u. For the density of states at the Fermi level, the calculation gives 1.3797 states/eV/atom. For the energy, the calculation gives -4.674 eV per atom. For the calculated formation energy, the calculation gives 1.2 eV/f.u.